# 1
Crystalline UAg3Br6Cl2 at its relaxed geometry, computed with PBE.

```
UAg3Br6Cl2
1.0
7.255 -4.051 0.000
7.255 4.051 0.000
-2.414 0.000 6.551
U Ag Br Cl
1 3 6 2
Direct
0.000 0.000 0.000 U
0.000 0.500 0.000 Ag
0.500 0.000 0.000 Ag
0.500 0.500 0.500 Ag
0.114 0.114 0.757 Br
0.126 0.652 0.755 Br
0.348 0.874 0.245 Br
0.652 0.126 0.755 Br
0.874 0.348 0.245 Br
0.886 0.886 0.243 Br
0.346 0.346 0.215 Cl
0.654 0.654 0.785 Cl
```

For the electronic total energy, the calculation gives -43.21 eV/f.u. As for the spin magnetization: 0.99 μB/f.u. The energy relative to the elements, uncorrected comes out at -0.804 eV per atom.


# 2
Crystalline VAg2BrCl at its relaxed geometry, computed with PBE.

```
VAg2BrCl
1.0
4.758 0.000 0.000
0.000 4.758 0.000
0.000 0.000 6.735
V Ag Br Cl
1 2 1 1
Direct
0.000 0.000 0.000 V
0.000 0.500 0.500 Ag
0.500 0.000 0.500 Ag
0.500 0.500 0.000 Br
0.500 0.500 0.500 Cl
```

For the electronic total energy, the calculation gives -14.91 eV/f.u. As for the spin magnetization: 4.08 μB/f.u. The energy relative to the elements, uncorrected comes out at 0.686 eV per atom.